[1]
VASP calculation (PBE) on a relaxed structure of Ce2TcP.

Output
Symmetry: No. 166
Energy: -7.402 eV/atom

Unit cell a=4.0244 b=4.0244 c=20.1773 alpha=90.00 beta=90.00 gamma=120.00
Sites, in units of the cell vectors:
Ce (0.0000, 0.0000, 0.2460)
Ce (0.0000, 0.0000, 0.7540)
Ce (0.3333, 0.6667, 0.4207)
Ce (0.3333, 0.6667, 0.9126)
Ce (0.6667, 0.3333, 0.0874)
Ce (0.6667, 0.3333, 0.5793)
Tc (0.0000, 0.0000, 0.5000)
Tc (0.3333, 0.6667, 0.1667)
Tc (0.6667, 0.3333, 0.8333)
P (0.0000, 0.0000, 0.0000)
P (0.3333, 0.6667, 0.6667)
P (0.6667, 0.3333, 0.3333)

[2]
VASP calculation (PBE) on a relaxed structure of CeTcP2.

Output
Symmetry: No. 166
Relative energy among the computed polymorphs: 1041 meV/atom
Energy: -6.503 eV/atom

Unit cell a=4.3055 b=4.3055 c=21.6169 alpha=90.00 beta=90.00 gamma=120.00
Sites, in units of the cell vectors:
Ce (0.0000, 0.0000, 0.0000)
Ce (0.3333, 0.6667, 0.6667)
Ce (0.6667, 0.3333, 0.3333)
Tc (0.0000, 0.0000, 0.5000)
Tc (0.3333, 0.6667, 0.1667)
Tc (0.6667, 0.3333, 0.8333)
P (0.0000, 0.0000, 0.3938)
P (0.0000, 0.0000, 0.6062)
P (0.3333, 0.6667, 0.0604)
P (0.3333, 0.6667, 0.2729)
P (0.6667, 0.3333, 0.7271)
P (0.6667, 0.3333, 0.9396)

[3]
VASP calculation (PBE) on a relaxed structure of CeTcP2.

Output
Symmetry: No. 119
Relative energy among the computed polymorphs: 43 meV/atom
Energy: -7.502 eV/atom

Unit cell a=3.9657 b=3.9657 c=9.8043 alpha=90.00 beta=90.00 gamma=90.00
Sites, in units of the cell vectors:
Ce (0.0000, 0.0000, 0.0000)
Ce (0.5000, 0.5000, 0.5000)
Tc (0.0000, 0.5000, 0.7500)
Tc (0.5000, 0.0000, 0.2500)
P (0.0000, 0.0000, 0.3745)
P (0.0000, 0.0000, 0.6255)
P (0.5000, 0.5000, 0.1255)
P (0.5000, 0.5000, 0.8745)

[4]
VASP calculation (PBE) on a relaxed structure of Ce2Tc3P4.

Output
Symmetry: No. 69
Energy: -7.890 eV/atom

Unit cell a=7.9008 b=6.6745 c=5.6681 alpha=79.14 beta=56.06 gamma=44.79
Sites, in units of the cell vectors:
Ce (0.1441, 0.1441, 0.8559)
Ce (0.8559, 0.8559, 0.1441)
Tc (0.0000, 0.0000, 0.5000)
Tc (0.5000, 0.5000, 0.0000)
Tc (0.5000, 0.5000, 0.5000)
P (0.1936, 0.5086, 0.4914)
P (0.4914, 0.8064, 0.1936)
P (0.5086, 0.1936, 0.8064)
P (0.8064, 0.4914, 0.5086)

no.,N(E_F) (states/eV per atom),total moment (μB/atom)
1,0.726,0.0000
2,1.463,0.9943
3,1.248,0.0000
4,1.076,0.0000